A plane-wave DFT calculation with SCAN was carried out for a PBEsol-optimized structure of Sc2BeTcSe.

Cell: 4.7084 4.7084 3.8770 Å, 90.00 90.00 90.00°
Fractional positions:
Sc1 0.0000 0.5000 0.0000
Sc2 0.5000 0.0000 0.0000
Be1 0.0000 0.0000 0.0000
Tc1 0.5000 0.5000 0.5000
Se1 0.0000 0.0000 0.5000

Output
The calculation puts the energy at -17.102 eV per atom. Its symmetry is P4/mmm, No. 123. The crystal system is tetragonal. Its raw formation energy is 237 kJ/mol of formula units.

A plane-wave DFT calculation with SCAN was carried out for a PBEsol-optimized structure of ScBeSi.

Cell: 4.2391 4.2391 4.2391 Å, 60.00 60.00 60.00°
Fractional positions:
Sc1 0.0000 0.0000 0.0000
Be1 0.2500 0.2500 0.2500
Si1 0.7500 0.7500 0.7500

Output
The calculation puts the energy at -9.167 eV per atom. Its symmetry is F-43m, No. 216. The crystal system is cubic. Its raw formation energy is 107 kJ/mol of formula units.

A plane-wave DFT calculation with SCAN was carried out for a PBEsol-optimized structure of ScBeSi2.

Cell: 4.9553 4.9553 4.9553 Å, 137.00 136.80 62.59°
Fractional positions:
Sc1 0.0000 0.0000 0.0000
Be1 0.7478 0.2478 0.5000
Si1 0.2566 0.7566 0.5000
Si2 0.5396 0.5396 0.0000

Output
The calculation puts the energy at -9.843 eV per atom. Its symmetry is Imm2, No. 44. The crystal system is orthorhombic. Its raw formation energy is -72 kJ/mol of formula units.

A plane-wave DFT calculation with SCAN was carried out for a PBEsol-optimized structure of ScBeSi.

Cell: 3.7386 3.7386 3.6532 Å, 90.00 90.00 120.00°
Fractional positions:
Sc1 0.0000 0.0000 0.0000
Be1 0.6667 0.3333 0.5000
Si1 0.3333 0.6667 0.5000

Output
The calculation puts the energy at -10.176 eV per atom. Its symmetry is P-6m2, No. 187. The crystal system is hexagonal. Its raw formation energy is -185 kJ/mol of formula units.

> What is the energy in the first record?

-17.102 eV per atom